Record 1
# ZnCoTcMo | OQMD via LeMat-Bulk | GGA-PBE | relaxed
data_ZnCoTcMo
_chemical_formula_sum 'Zn1 Co1 Tc1 Mo1'
_symmetry_space_group_name_H-M 'P 1'
_symmetry_Int_Tables_number 1
_symmetry_space_group_name_Hall 'P 1'
_cell_length_a 4.258
_cell_length_b 4.258
_cell_length_c 4.258
_cell_angle_alpha 60.00
_cell_angle_beta 60.00
_cell_angle_gamma 60.00
loop_
_atom_site_label
_atom_site_type_symbol
_atom_site_fract_x
_atom_site_fract_y
_atom_site_fract_z
Zn1 Zn 0.000 0.000 0.000
Mo1 Mo 0.500 0.500 0.500
Tc1 Tc 0.250 0.250 0.250
Co1 Co 0.750 0.750 0.750
# Formation energy from the elements = 0.07 eV per atom

---

Record 2
# CoTe2Mo | OQMD via LeMat-Bulk | GGA-PBE | relaxed
data_CoTe2Mo
_chemical_formula_sum 'Co1 Te2 Mo1'
_symmetry_space_group_name_H-M 'P 1'
_symmetry_Int_Tables_number 1
_symmetry_space_group_name_Hall 'P 1'
_cell_length_a 4.763
_cell_length_b 4.763
_cell_length_c 4.763
_cell_angle_alpha 60.00
_cell_angle_beta 60.00
_cell_angle_gamma 60.00
loop_
_atom_site_label
_atom_site_type_symbol
_atom_site_fract_x
_atom_site_fract_y
_atom_site_fract_z
Te1 Te 0.000 0.000 0.000
Co1 Co 0.250 0.250 0.250
Te2 Te 0.750 0.750 0.750
Mo1 Mo 0.500 0.500 0.500
# Calculated total energy = -5.0605 eV per atom